Y2ErSi4Au4: relaxed, PBE.

Summary:
- total DFT energy (no corrections) (eV per formula unit) = -60.1
- symmetry = Immm

abc: 12.862 12.862 12.862
angles: 161.56 161.05 26.56
Element x y z (fractional)
1 Y 0.147 0.147 0.000
2 Y 0.853 0.853 0.000
3 Er 0.500 0.000 0.500
4 Si 0.047 0.547 0.500
5 Si 0.310 0.310 0.000
6 Si 0.690 0.690 0.000
7 Si 0.953 0.453 0.500
8 Au 0.248 0.748 0.500
9 Au 0.407 0.407 0.000
10 Au 0.593 0.593 0.000
11 Au 0.752 0.252 0.500

---

NbTeW: relaxed, PBE.

Summary:
- symmetry = F-43m
- energy above the most stable polymorph in this dataset (eV per atom) = 0.0000

abc: 4.496 4.496 4.496
angles: 60.00 60.00 60.00
Element x y z (fractional)
1 Nb 0.000 0.000 0.000
2 Te 0.500 0.500 0.500
3 W 0.250 0.250 0.250